A plane-wave DFT calculation with PBE-GGA was carried out for an optimized crystal structure of FeAgAs2.

```
FeAgAs2
1.0
0.0000 3.1616 3.1616
3.1616 0.0000 3.1616
3.1616 3.1616 0.0000
Fe Ag As
1 1 2
Cartesian
0.0000 0.0000 0.0000
3.1616 3.1616 3.1616
1.5808 1.5808 1.5808
4.7424 4.7424 4.7424
```

Values from the calculation:
**Magnetization**: 0.00 μB/f.u.
**Uncorrected energy**: -18.822 eV for the cell shown
**Energy relative to the elements**: 0.45 eV/atom
**Calculated volume**: 63.21 Å³ per cell
**SG**: Fm-3m (225)

---

A plane-wave DFT calculation with PBE-GGA was carried out for an optimized crystal structure of Ti6Ga16Ni7.

```
Ti6Ga16Ni7
1.0
0.0000 5.9321 5.9321
5.9321 0.0000 5.9321
5.9321 5.9321 0.0000
Ti Ga Ni
6 16 7
Cartesian
5.9321 5.9321 2.2484
5.9321 2.2484 5.9321
9.6159 5.9321 5.9321
2.2484 5.9321 5.9321
5.9321 9.6159 5.9321
5.9321 5.9321 9.6159
7.3658 4.4984 4.4984
1.8540 1.8540 1.8540
4.0782 4.0782 1.8540
4.0782 1.8540 4.0782
4.4984 4.4984 4.4984
7.3658 7.3658 4.4984
7.3658 4.4984 7.3658
10.0103 7.7861 7.7861
1.8540 4.0782 4.0782
4.4984 7.3658 4.4984
4.4984 4.4984 7.3658
7.3658 7.3658 7.3658
7.7861 10.0103 7.7861
7.7861 7.7861 10.0103
10.0103 10.0103 10.0103
4.4984 7.3658 7.3658
2.9661 2.9661 0.0000
2.9661 0.0000 2.9661
5.9321 2.9661 2.9661
0.0000 2.9661 2.9661
2.9661 5.9321 2.9661
2.9661 2.9661 5.9321
5.9321 5.9321 5.9321
```

Values from the calculation:
**Magnetization**: 0.00 μB/f.u.
**Uncorrected energy**: -148.467 eV for the cell shown
**Energy relative to the elements**: -0.42 eV/atom
**Calculated volume**: 417.50 Å³ per cell
**SG**: Fm-3m (225)

---

A plane-wave DFT calculation with PBE-GGA was carried out for an optimized crystal structure of SrLa2Hg.

```
SrLa2Hg
1.0
3.9033 0.0000 0.0000
0.0000 5.7658 0.0000
0.0000 0.0000 6.0561
Sr La Hg
1 2 1
Cartesian
0.0000 0.0000 0.0000
0.0000 2.8829 3.0280
1.9517 0.0000 3.0280
1.9517 2.8829 0.0000
```

Values from the calculation:
**Magnetization**: 0.00 μB/f.u.
**Uncorrected energy**: -12.141 eV for the cell shown
**Energy relative to the elements**: -0.08 eV/atom
**Calculated volume**: 136.30 Å³ per cell
**SG**: Pmmm (47)

---

A plane-wave DFT calculation with PBE-GGA was carried out for an optimized crystal structure of TlTeP2.

```
TlTeP2
1.0
5.7558 0.0000 0.0000
0.0000 3.2290 0.0000
-1.4047 0.0000 5.9942
Tl Te P
1 1 2
Cartesian
0.0000 0.0000 0.0000
4.2089 1.6145 2.8585
1.4858 1.6145 3.5069
1.4953 0.0000 4.9719
```

Values from the calculation:
**Magnetization**: 0.00 μB/f.u.
**Uncorrected energy**: -16.225 eV for the cell shown
**Calculated volume**: 111.41 Å³ per cell
**Formation energy without anion corrections**: 0.6 kcal/mol of atoms
**SG**: Pm (6)

---

A plane-wave DFT calculation with PBE-GGA was carried out for an optimized crystal structure of TaTc2Ir.

```
TaTc2Ir
1.0
2.8110 0.0000 0.0000
0.0000 3.8861 0.0000
0.0000 0.0000 5.6515
Ta Tc Ir
1 2 1
Cartesian
0.0000 0.0000 0.0000
0.0000 0.0000 2.7857
1.4055 1.9430 1.5548
1.4055 1.9430 4.2574
```

Values from the calculation:
**Magnetization**: 0.00 μB/f.u.
**Uncorrected energy**: -42.212 eV for the cell shown
**Energy relative to the elements**: -0.19 eV/atom
**Calculated volume**: 61.74 Å³ per cell
**SG**: Pmm2 (25)

---

A plane-wave DFT calculation with PBE-GGA was carried out for an optimized crystal structure of ErThZr2.

```
ErThZr2
1.0
1.6988 0.9808 10.8219
-1.6988 0.9808 10.8219
0.0000 -1.9616 10.8219
Er Th Zr
1 1 2
Cartesian
0.0000 0.0000 0.0000
0.0000 0.0000 16.2328
0.0000 0.0000 8.0918
0.0000 0.0000 24.3738
```

Values from the calculation:
**Magnetization**: 0.00 μB/f.u.
**Uncorrected energy**: -28.539 eV for the cell shown
**Energy relative to the elements**: 0.13 eV/atom
**Calculated volume**: 108.18 Å³ per cell
**SG**: R-3m (166)

---

A plane-wave DFT calculation with PBE-GGA was carried out for an optimized crystal structure of CuRh2Br.

```
CuRh2Br
1.0
-2.9880 2.9880 4.6792
2.9880 -2.9880 4.6792
2.9880 2.9880 -4.6792
Cu Rh Br
2 4 2
Cartesian
0.0000 0.0000 0.0000
0.0000 2.9880 2.3396
1.4940 -1.4768 3.5094
1.5112 1.4940 1.1698
1.4940 4.4648 -1.1698
1.4768 1.4940 5.8490
2.9880 0.0000 2.3396
0.0000 0.0000 4.6792
```

Values from the calculation:
**Magnetization**: 0.00 μB/f.u.
**Uncorrected energy**: -33.769 eV for the cell shown
**Calculated volume**: 167.10 Å³ per cell
**Formation energy without anion corrections**: 20.7 kcal/mol of atoms
**SG**: I-42d (122)

---

A plane-wave DFT calculation with PBE-GGA was carried out for an optimized crystal structure of Si2CI.

```
Si2CI
1.0
-3.0705 3.0705 3.8364
3.0705 -3.0705 3.8364
3.0705 3.0705 -3.8364
Si C I
4 2 2
Cartesian
1.5353 0.7835 -0.9591
2.2870 -1.5353 4.7956
1.5353 2.2870 2.8773
0.7835 4.6058 0.9591
0.0000 0.0000 0.0000
0.0000 3.0705 1.9182
3.0705 0.0000 1.9182
0.0000 0.0000 3.8364
```

Values from the calculation:
**Magnetization**: 0.00 μB/f.u.
**Uncorrected energy**: -36.675 eV for the cell shown
**Calculated volume**: 144.68 Å³ per cell
**Formation energy without anion corrections**: 18.9 kcal/mol of atoms
**SG**: I-42d (122)